Entry 1:
# PBE-GGA Rb2CaCCl6, relaxed
data_Rb2CaCCl6
_chemical_formula_sum 'Rb2 Ca1 C1 Cl6'
_symmetry_space_group_name_H-M 'P 1'
_symmetry_Int_Tables_number 1
_cell_length_a 7.206
_cell_length_b 7.206
_cell_length_c 7.208
_cell_angle_alpha 60.01
_cell_angle_beta 60.01
_cell_angle_gamma 90.00
loop_
_symmetry_equiv_pos_as_xyz
'x,y,z'
loop_
_atom_site_label
_atom_site_type_symbol
_atom_site_fract_x
_atom_site_fract_y
_atom_site_fract_z
Cl1 Cl 0.733 0.733 0.534
Cl2 Cl 0.733 0.733 0.000
Cl3 Cl 0.267 0.267 0.466
Cl4 Cl 0.733 0.267 0.000
Cl5 Cl 0.267 0.267 0.000
Cl6 Cl 0.267 0.733 0.000
C1 C 0.500 0.500 0.000
Rb1 Rb 0.750 0.250 0.500
Rb2 Rb 0.250 0.750 0.500
Ca1 Ca 0.000 0.000 0.000
# symmetry: No. 225
# N(E_F): 0.0 states/eV per cell
# M_tot: 0.00 Bohr magnetons per cell
# E_tot: -34.7 eV/cell
# theoretical density: 2.73 g/cm³
# energy relative to the elements, uncorrected: -1.048 eV/atom

Entry 2:
# PBE-GGA VMoAs2, relaxed
data_VMoAs2
_chemical_formula_sum 'V1 Mo1 As2'
_symmetry_space_group_name_H-M 'P 1'
_symmetry_Int_Tables_number 1
_cell_length_a 4.398
_cell_length_b 4.398
_cell_length_c 4.398
_cell_angle_alpha 60.00
_cell_angle_beta 60.00
_cell_angle_gamma 60.00
loop_
_symmetry_equiv_pos_as_xyz
'x,y,z'
loop_
_atom_site_label
_atom_site_type_symbol
_atom_site_fract_x
_atom_site_fract_y
_atom_site_fract_z
V1 V 0.000 0.000 0.000
As1 As 0.750 0.750 0.750
As2 As 0.250 0.250 0.250
Mo1 Mo 0.500 0.500 0.500
# symmetry: No. 225
# formation energy from the elements: -141 meV/atom
# N(E_F): 2.8 states/eV per cell
# M_tot: 1.39 Bohr magnetons per cell
# E_tot: -29.8 eV/cell
# theoretical density: 8.19 g/cm³

Entry 3:
# PBE-GGA RbCaCl3, relaxed
data_RbCaCl3
_chemical_formula_sum 'Rb1 Ca1 Cl3'
_symmetry_space_group_name_H-M 'P 1'
_symmetry_Int_Tables_number 1
_cell_length_a 4.785
_cell_length_b 4.785
_cell_length_c 8.192
_cell_angle_alpha 90.00
_cell_angle_beta 90.00
_cell_angle_gamma 90.00
loop_
_symmetry_equiv_pos_as_xyz
'x,y,z'
loop_
_atom_site_label
_atom_site_type_symbol
_atom_site_fract_x
_atom_site_fract_y
_atom_site_fract_z
Cl1 Cl 0.500 0.000 0.400
Cl2 Cl 0.000 0.000 0.761
Cl3 Cl 0.000 0.500 0.400
Rb1 Rb 0.000 0.000 0.142
Ca1 Ca 0.500 0.500 0.560
# symmetry: No. 99
# N(E_F): 0.0 states/eV per cell
# M_tot: 0.08 Bohr magnetons per cell
# E_tot: -18.2 eV/cell
# theoretical density: 2.05 g/cm³
# energy relative to the elements, uncorrected: -1.943 eV/atom

Entry 4:
# PBE-GGA Tl2BiPd2, relaxed
data_Tl2BiPd2
_chemical_formula_sum 'Tl2 Bi1 Pd2'
_symmetry_space_group_name_H-M 'P 1'
_symmetry_Int_Tables_number 1
_cell_length_a 4.194
_cell_length_b 4.194
_cell_length_c 7.292
_cell_angle_alpha 73.29
_cell_angle_beta 73.29
_cell_angle_gamma 90.00
loop_
_symmetry_equiv_pos_as_xyz
'x,y,z'
loop_
_atom_site_label
_atom_site_type_symbol
_atom_site_fract_x
_atom_site_fract_y
_atom_site_fract_z
Tl1 Tl 0.250 0.750 0.500
Tl2 Tl 0.750 0.250 0.500
Pd1 Pd 0.601 0.601 0.798
Pd2 Pd 0.399 0.399 0.202
Bi1 Bi 0.000 0.000 0.000
# symmetry: No. 139
# formation energy from the elements: 51 meV/atom
# N(E_F): 2.8 states/eV per cell
# M_tot: 0.00 Bohr magnetons per cell
# E_tot: -18.7 eV/cell
# theoretical density: 11.77 g/cm³

Entry 5:
# PBE-GGA Er4PC2O, relaxed
data_Er4PC2O
_chemical_formula_sum 'Er8 P2 C4 O2'
_symmetry_space_group_name_H-M 'P 1'
_symmetry_Int_Tables_number 1
_cell_length_a 3.670
_cell_length_b 6.404
_cell_length_c 12.604
_cell_angle_alpha 90.00
_cell_angle_beta 90.00
_cell_angle_gamma 106.65
loop_
_symmetry_equiv_pos_as_xyz
'x,y,z'
loop_
_atom_site_label
_atom_site_type_symbol
_atom_site_fract_x
_atom_site_fract_y
_atom_site_fract_z
Er1 Er 0.262 0.524 0.388
Er2 Er 0.738 0.476 0.888
Er3 Er 0.565 0.129 0.250
Er4 Er 0.435 0.871 0.750
Er5 Er 0.000 0.000 0.500
Er6 Er 0.738 0.476 0.612
Er7 Er 0.262 0.524 0.112
Er8 Er 0.000 0.000 0.000
O1 O 0.843 0.687 0.750
O2 O 0.157 0.313 0.250
C1 C 0.632 0.264 0.053
C2 C 0.632 0.264 0.447
C3 C 0.368 0.736 0.553
C4 C 0.368 0.736 0.947
P1 P 0.113 0.226 0.750
P2 P 0.887 0.774 0.250
# symmetry: No. 63
# N(E_F): 9.5 states/eV per cell
# M_tot: 0.00 Bohr magnetons per cell
# E_tot: -113.5 eV/cell
# theoretical density: 8.66 g/cm³
# energy relative to the elements, uncorrected: -1.212 eV/atom

Entry 6:
# PBE-GGA Tb5DyTm2In, relaxed
data_Tb5DyTm2In
_chemical_formula_sum 'Tb10 Dy2 Tm4 In2'
_symmetry_space_group_name_H-M 'P 1'
_symmetry_Int_Tables_number 1
_cell_length_a 5.353
_cell_length_b 10.354
_cell_length_c 10.521
_cell_angle_alpha 90.00
_cell_angle_beta 90.00
_cell_angle_gamma 104.98
loop_
_symmetry_equiv_pos_as_xyz
'x,y,z'
loop_
_atom_site_label
_atom_site_type_symbol
_atom_site_fract_x
_atom_site_fract_y
_atom_site_fract_z
Tb1 Tb 0.500 0.000 0.758
Tb2 Tb 0.618 0.237 0.508
Tb3 Tb 0.711 0.422 0.808
Tb4 Tb 0.500 0.000 0.258
Tb5 Tb 0.382 0.763 0.008
Tb6 Tb 0.711 0.421 0.208
Tb7 Tb 0.012 0.024 0.008
Tb8 Tb 0.289 0.578 0.308
Tb9 Tb 0.988 0.976 0.508
Tb10 Tb 0.289 0.579 0.708
Tm1 Tm 0.884 0.768 0.218
Tm2 Tm 0.116 0.232 0.718
Tm3 Tm 0.116 0.231 0.299
Tm4 Tm 0.884 0.769 0.799
In1 In 0.405 0.809 0.508
In2 In 0.595 0.191 0.008
Dy1 Dy 0.794 0.589 0.508
Dy2 Dy 0.206 0.411 0.008
# symmetry: No. 63
# formation energy from the elements: 0 meV/atom
# N(E_F): 25.0 states/eV per cell
# M_tot: 0.00 Bohr magnetons per cell
# E_tot: -78.9 eV/cell
# theoretical density: 8.31 g/cm³